Below is TlAgC after structural relaxation, with properties calculated at the PBE level.

a = 4.4700 Å, b = 5.3648 Å, c = 6.4399 Å
α = 89.13°, β = 110.58°, γ = 103.16°
With the nearest neighbours (Å) after each atom.
Fractional coordinates of all 6 atoms:
Tl 0.5784 0.8034 0.8803  2 C 2.94-3.27, 1 Ag 3.14
Tl 0.3357 0.2787 0.1173  2 Ag 2.91-2.94, 2 C 2.98-3.24
C 0.9461 0.6423 0.5092  1 C 1.26
C 0.9502 0.4073 0.5177  1 C 1.26
Ag 0.9322 0.0242 0.5114  2 C 2.04-2.06
Ag 0.2298 0.7535 0.2600  1 C 2.37

Properties
M_tot = 0.000 μB/cell
ΔE_f = 0.67 eV/atom
Space group = P1 (1)
Crystal system = triclinic
Volume = 23.40 Å³ per atom